Crystalline FePd2Pt3 at its relaxed geometry, computed with GGA-PBE.

abc: 5.212 8.423 4.322
angles: 90.00 90.00 90.00
Space group Pnnm (No. 58)
Inequivalent atoms, fractional coordinates:
Fe (0.000, 0.000, 0.000) x2
Pd (0.208, 0.298, 0.000) x4
Pt (0.000, 0.500, 0.500) x2
Pt (0.216, 0.111, 0.500) x4

The crystal system is orthorhombic. As for the energy relative to the elements: 0.05 eV/atom.